# MnH PBE-GGA relaxed
data_MnH
_cell_length_a 6.179
_cell_length_b 6.179
_cell_length_c 2.551
_cell_angle_alpha 90.00
_cell_angle_beta 90.00
_cell_angle_gamma 120.00
_space_group_name_H-M_alt 'P 1'
_space_group_IT_number 1
_space_group_name_Hall 'P 1'
loop_
_atom_site_label
_atom_site_type_symbol
_atom_site_fract_x
_atom_site_fract_y
_atom_site_fract_z
Mn1 Mn 0.130 0.693 0.250
Mn2 Mn 0.307 0.437 0.250
Mn3 Mn 0.437 0.130 0.750
Mn4 Mn 0.563 0.870 0.250
Mn5 Mn 0.693 0.563 0.750
Mn6 Mn 0.870 0.307 0.750
H1 H 0.012 0.786 0.750
H2 H 0.214 0.226 0.750
H3 H 0.226 0.012 0.250
H4 H 0.774 0.988 0.750
H5 H 0.786 0.774 0.250
H6 H 0.988 0.214 0.250
# * space-group type: P6_3/m (176)
# * calculated total energy: -73.360 eV/cell


# Mn4H PBE-GGA relaxed
data_Mn4H
_cell_length_a 5.064
_cell_length_b 4.764
_cell_length_c 5.962
_cell_angle_alpha 54.99
_cell_angle_beta 50.39
_cell_angle_gamma 74.62
_space_group_name_H-M_alt 'P 1'
_space_group_IT_number 1
_space_group_name_Hall 'P 1'
loop_
_atom_site_label
_atom_site_type_symbol
_atom_site_fract_x
_atom_site_fract_y
_atom_site_fract_z
Mn1 Mn 0.033 0.445 0.805
Mn2 Mn 0.044 0.956 0.286
Mn3 Mn 0.445 0.033 0.717
Mn4 Mn 0.445 0.533 0.217
Mn5 Mn 0.533 0.445 0.805
Mn6 Mn 0.536 0.964 0.294
Mn7 Mn 0.956 0.044 0.714
Mn8 Mn 0.964 0.536 0.206
H1 H 0.499 0.499 0.501
H2 H 0.749 0.749 0.751
# * space-group type: Fdd2 (43)
# * calculated total energy: -80.007 eV/cell


# MnH3 PBE-GGA relaxed
data_MnH3
_cell_length_a 4.632
_cell_length_b 4.632
_cell_length_c 4.632
_cell_angle_alpha 149.84
_cell_angle_beta 144.75
_cell_angle_gamma 47.05
_space_group_name_H-M_alt 'P 1'
_space_group_IT_number 1
_space_group_name_Hall 'P 1'
loop_
_atom_site_label
_atom_site_type_symbol
_atom_site_fract_x
_atom_site_fract_y
_atom_site_fract_z
Mn1 Mn 0.000 0.000 0.000
H1 H 0.144 0.644 0.500
H2 H 0.500 0.500 0.000
H3 H 0.856 0.356 0.500
# * space-group type: Immm (71)
# * calculated total energy: -18.175 eV/cell


# MnH4 PBE-GGA relaxed
data_MnH4
_cell_length_a 3.387
_cell_length_b 3.387
_cell_length_c 3.387
_cell_angle_alpha 90.00
_cell_angle_beta 90.00
_cell_angle_gamma 90.00
_space_group_name_H-M_alt 'P 1'
_space_group_IT_number 1
_space_group_name_Hall 'P 1'
loop_
_atom_site_label
_atom_site_type_symbol
_atom_site_fract_x
_atom_site_fract_y
_atom_site_fract_z
Mn1 Mn 0.000 0.000 0.000
H1 H 0.000 0.000 0.500
H2 H 0.000 0.500 0.000
H3 H 0.500 0.000 0.000
H4 H 0.500 0.500 0.500
# * space-group type: Pm-3m (221)
# * calculated total energy: -19.389 eV/cell


# MnH PBE-GGA relaxed
data_MnH
_cell_length_a 2.724
_cell_length_b 2.724
_cell_length_c 4.262
_cell_angle_alpha 90.00
_cell_angle_beta 90.00
_cell_angle_gamma 120.00
_space_group_name_H-M_alt 'P 1'
_space_group_IT_number 1
_space_group_name_Hall 'P 1'
loop_
_atom_site_label
_atom_site_type_symbol
_atom_site_fract_x
_atom_site_fract_y
_atom_site_fract_z
Mn1 Mn 0.333 0.667 0.000
Mn2 Mn 0.667 0.333 0.500
H1 H 0.333 0.667 0.614
H2 H 0.667 0.333 0.114
# * space-group type: P6_3mc (186)
# * calculated total energy: -24.545 eV/cell


# MnH PBE-GGA relaxed
data_MnH
_cell_length_a 2.712
_cell_length_b 2.712
_cell_length_c 2.712
_cell_angle_alpha 60.00
_cell_angle_beta 60.00
_cell_angle_gamma 60.00
_space_group_name_H-M_alt 'P 1'
_space_group_IT_number 1
_space_group_name_Hall 'P 1'
loop_
_atom_site_label
_atom_site_type_symbol
_atom_site_fract_x
_atom_site_fract_y
_atom_site_fract_z
Mn1 Mn 0.000 0.000 0.000
H1 H 0.750 0.750 0.750
# * space-group type: F-43m (216)
# * calculated total energy: -12.267 eV/cell


# Mn3H2 PBE-GGA relaxed
data_Mn3H2
_cell_length_a 4.833
_cell_length_b 4.833
_cell_length_c 4.833
_cell_angle_alpha 55.53
_cell_angle_beta 55.53
_cell_angle_gamma 55.53
_space_group_name_H-M_alt 'P 1'
_space_group_IT_number 1
_space_group_name_Hall 'P 1'
loop_
_atom_site_label
_atom_site_type_symbol
_atom_site_fract_x
_atom_site_fract_y
_atom_site_fract_z
Mn1 Mn 0.085 0.750 0.415
Mn2 Mn 0.250 0.585 0.915
Mn3 Mn 0.415 0.085 0.750
Mn4 Mn 0.585 0.915 0.250
Mn5 Mn 0.750 0.415 0.085
Mn6 Mn 0.915 0.250 0.585
H1 H 0.163 0.163 0.163
H2 H 0.337 0.337 0.337
H3 H 0.663 0.663 0.663
H4 H 0.837 0.837 0.837
# * energy above the lowest structure with this stoichiometry: 0 kJ/mol of formula units
# * space-group type: R-3c (167)
# * calculated total energy: -69.047 eV/cell


# Mn4H PBE-GGA relaxed
data_Mn4H
_cell_length_a 3.632
_cell_length_b 3.632
_cell_length_c 3.632
_cell_angle_alpha 90.00
_cell_angle_beta 90.00
_cell_angle_gamma 90.00
_space_group_name_H-M_alt 'P 1'
_space_group_IT_number 1
_space_group_name_Hall 'P 1'
loop_
_atom_site_label
_atom_site_type_symbol
_atom_site_fract_x
_atom_site_fract_y
_atom_site_fract_z
Mn1 Mn 0.000 0.000 0.000
Mn2 Mn 0.000 0.500 0.500
Mn3 Mn 0.500 0.000 0.500
Mn4 Mn 0.500 0.500 0.000
H1 H 0.500 0.500 0.500
# * space-group type: Pm-3m (221)
# * calculated total energy: -39.997 eV/cell


# Mn3H2 PBE-GGA relaxed
data_Mn3H2
_cell_length_a 2.563
_cell_length_b 2.563
_cell_length_c 6.382
_cell_angle_alpha 90.00
_cell_angle_beta 90.00
_cell_angle_gamma 120.00
_space_group_name_H-M_alt 'P 1'
_space_group_IT_number 1
_space_group_name_Hall 'P 1'
loop_
_atom_site_label
_atom_site_type_symbol
_atom_site_fract_x
_atom_site_fract_y
_atom_site_fract_z
Mn1 Mn 0.000 0.000 0.000
Mn2 Mn 0.333 0.667 0.650
Mn3 Mn 0.667 0.333 0.350
H1 H 0.333 0.667 0.172
H2 H 0.667 0.333 0.828
# * energy above the lowest structure with this stoichiometry: 29 kJ/mol of formula units
# * space-group type: P-3m1 (164)
# * calculated total energy: -34.219 eV/cell


# Mn5Mo3H12 PBE-GGA relaxed
data_Mn5Mo3H12
_cell_length_a 9.180
_cell_length_b 9.180
_cell_length_c 9.180
_cell_angle_alpha 109.47
_cell_angle_beta 109.47
_cell_angle_gamma 109.47
_space_group_name_H-M_alt 'P 1'
_space_group_IT_number 1
_space_group_name_Hall 'P 1'
loop_
_atom_site_label
_atom_site_type_symbol
_atom_site_fract_x
_atom_site_fract_y
_atom_site_fract_z
Mn1 Mn 0.000 0.000 0.000
Mn2 Mn 0.000 0.000 0.500
Mn3 Mn 0.000 0.500 0.000
Mn4 Mn 0.000 0.500 0.500
Mn5 Mn 0.125 0.750 0.875
Mn6 Mn 0.125 0.875 0.250
Mn7 Mn 0.250 0.125 0.875
Mn8 Mn 0.250 0.625 0.375
Mn9 Mn 0.375 0.250 0.625
Mn10 Mn 0.375 0.625 0.750
Mn11 Mn 0.500 0.000 0.000
Mn12 Mn 0.500 0.000 0.500
Mn13 Mn 0.500 0.500 0.000
Mn14 Mn 0.500 0.500 0.500
Mn15 Mn 0.625 0.375 0.250
Mn16 Mn 0.625 0.750 0.375
Mn17 Mn 0.750 0.375 0.625
Mn18 Mn 0.750 0.875 0.125
Mn19 Mn 0.875 0.125 0.750
Mn20 Mn 0.875 0.250 0.125
Mo1 Mo 0.125 0.250 0.375
Mo2 Mo 0.125 0.375 0.750
Mo3 Mo 0.250 0.375 0.125
Mo4 Mo 0.250 0.875 0.625
Mo5 Mo 0.375 0.125 0.250
Mo6 Mo 0.375 0.750 0.125
Mo7 Mo 0.625 0.250 0.875
Mo8 Mo 0.625 0.875 0.750
Mo9 Mo 0.750 0.125 0.375
Mo10 Mo 0.750 0.625 0.875
Mo11 Mo 0.875 0.625 0.250
Mo12 Mo 0.875 0.750 0.625
H1 H 0.055 0.217 0.135
H2 H 0.055 0.338 0.920
H3 H 0.080 0.635 0.418
H4 H 0.080 0.945 0.662
H5 H 0.082 0.717 0.662
H6 H 0.082 0.865 0.420
H7 H 0.135 0.055 0.217
H8 H 0.135 0.580 0.918
H9 H 0.162 0.217 0.582
H10 H 0.162 0.445 0.580
H11 H 0.217 0.135 0.055
H12 H 0.217 0.582 0.162
H13 H 0.283 0.338 0.918
H14 H 0.283 0.445 0.365
H15 H 0.338 0.918 0.283
H16 H 0.338 0.920 0.055
H17 H 0.365 0.283 0.445
H18 H 0.365 0.582 0.920
H19 H 0.418 0.080 0.635
H20 H 0.418 0.838 0.783
H21 H 0.420 0.082 0.865
H22 H 0.420 0.838 0.555
H23 H 0.445 0.365 0.283
H24 H 0.445 0.580 0.162
H25 H 0.555 0.420 0.838
H26 H 0.555 0.635 0.717
H27 H 0.580 0.162 0.445
H28 H 0.580 0.918 0.135
H29 H 0.582 0.162 0.217
H30 H 0.582 0.920 0.365
H31 H 0.635 0.418 0.080
H32 H 0.635 0.717 0.555
H33 H 0.662 0.080 0.945
H34 H 0.662 0.082 0.717
H35 H 0.717 0.555 0.635
H36 H 0.717 0.662 0.082
H37 H 0.783 0.418 0.838
H38 H 0.783 0.865 0.945
H39 H 0.838 0.555 0.420
H40 H 0.838 0.783 0.418
H41 H 0.865 0.420 0.082
H42 H 0.865 0.945 0.783
H43 H 0.918 0.135 0.580
H44 H 0.918 0.283 0.338
H45 H 0.920 0.055 0.338
H46 H 0.920 0.365 0.582
H47 H 0.945 0.662 0.080
H48 H 0.945 0.783 0.865
# * space-group type: Ia-3d (230)
# * calculated total energy: -465.032 eV/cell


# MnMo2H2 PBE-GGA relaxed
data_MnMo2H2
_cell_length_a 5.781
_cell_length_b 5.781
_cell_length_c 2.843
_cell_angle_alpha 90.00
_cell_angle_beta 90.00
_cell_angle_gamma 90.00
_space_group_name_H-M_alt 'P 1'
_space_group_IT_number 1
_space_group_name_Hall 'P 1'
loop_
_atom_site_label
_atom_site_type_symbol
_atom_site_fract_x
_atom_site_fract_y
_atom_site_fract_z
Mn1 Mn 0.000 0.000 0.000
Mn2 Mn 0.500 0.500 0.000
Mo1 Mo 0.159 0.341 0.500
Mo2 Mo 0.341 0.841 0.500
Mo3 Mo 0.659 0.159 0.500
Mo4 Mo 0.841 0.659 0.500
H1 H 0.168 0.668 0.000
H2 H 0.332 0.168 0.000
H3 H 0.668 0.832 0.000
H4 H 0.832 0.332 0.000
# * energy above the lowest structure with this stoichiometry: 76 kJ/mol of formula units
# * space-group type: P4/mbm (127)
# * calculated total energy: -72.564 eV/cell


# MnMoH2 PBE-GGA relaxed
data_MnMoH2
_cell_length_a 5.015
_cell_length_b 5.015
_cell_length_c 5.015
_cell_angle_alpha 131.79
_cell_angle_beta 131.79
_cell_angle_gamma 70.56
_space_group_name_H-M_alt 'P 1'
_space_group_IT_number 1
_space_group_name_Hall 'P 1'
loop_
_atom_site_label
_atom_site_type_symbol
_atom_site_fract_x
_atom_site_fract_y
_atom_site_fract_z
Mn1 Mn 0.000 0.000 0.000
Mn2 Mn 0.750 0.250 0.500
Mo1 Mo 0.250 0.750 0.500
Mo2 Mo 0.500 0.500 0.000
H1 H 0.092 0.625 0.967
H2 H 0.375 0.342 0.467
H3 H 0.658 0.125 0.033
H4 H 0.875 0.908 0.533
# * energy above the lowest structure with this stoichiometry: 50 kJ/mol of formula units
# * space-group type: I-42d (122)
# * calculated total energy: -52.488 eV/cell